# Ce6SiRu

A geometry-optimized Ce6SiRu structure (GGA-PBE, the Alexandria database).

CIF file:
```
data_Ce6SiRu
_cell_length_a 5.944
_cell_length_b 5.944
_cell_length_c 6.238
_cell_angle_alpha 99.06
_cell_angle_beta 99.06
_cell_angle_gamma 101.50
_space_group_name_H-M_alt 'P 1'
_space_group_IT_number 1
_space_group_name_Hall 'P 1'
loop_
_atom_site_label
_atom_site_fract_x
_atom_site_fract_y
_atom_site_fract_z
Ce1 0.072 0.657 0.694
Ce2 0.318 0.318 0.883
Ce3 0.343 0.928 0.306
Ce4 0.657 0.072 0.694
Ce5 0.682 0.682 0.117
Ce6 0.928 0.343 0.306
Si1 0.500 0.500 0.500
Ru1 0.000 0.000 0.000
```

Values from the calculation:
Size of the total moment: 2.19 μB per formula unit
E: -51.32 eV/f.u.


# Ce5SiRu5

A geometry-optimized Ce5SiRu5 structure (GGA-PBE, the Alexandria database).

CIF file:
```
data_Ce5SiRu5
_cell_length_a 6.557
_cell_length_b 6.557
_cell_length_c 8.252
_cell_angle_alpha 108.70
_cell_angle_beta 108.70
_cell_angle_gamma 46.94
_space_group_name_H-M_alt 'P 1'
_space_group_IT_number 1
_space_group_name_Hall 'P 1'
loop_
_atom_site_label
_atom_site_fract_x
_atom_site_fract_y
_atom_site_fract_z
Ce1 0.000 0.000 0.000
Ce2 0.324 0.324 0.169
Ce3 0.326 0.326 0.657
Ce4 0.674 0.674 0.343
Ce5 0.676 0.676 0.831
Si1 0.000 0.000 0.500
Ru1 0.123 0.123 0.319
Ru2 0.136 0.136 0.806
Ru3 0.500 0.500 0.500
Ru4 0.864 0.864 0.194
Ru5 0.877 0.877 0.681
```

Values from the calculation:
Size of the total moment: 0.00 μB per formula unit
E: -84.53 eV/f.u.


# Ce2Si3Ru

A geometry-optimized Ce2Si3Ru structure (GGA-PBE, the Alexandria database).

CIF file:
```
data_Ce2Si3Ru
_cell_length_a 8.218
_cell_length_b 8.173
_cell_length_c 5.790
_cell_angle_alpha 69.73
_cell_angle_beta 68.89
_cell_angle_gamma 41.37
_space_group_name_H-M_alt 'P 1'
_space_group_IT_number 1
_space_group_name_Hall 'P 1'
loop_
_atom_site_label
_atom_site_fract_x
_atom_site_fract_y
_atom_site_fract_z
Ce1 0.242 0.758 0.758
Ce2 0.250 0.250 0.250
Ce3 0.750 0.750 0.750
Ce4 0.758 0.242 0.242
Si1 0.171 0.663 0.337
Si2 0.334 0.334 0.666
Si3 0.337 0.829 0.171
Si4 0.663 0.171 0.829
Si5 0.666 0.666 0.334
Si6 0.829 0.337 0.663
Ru1 0.166 0.166 0.834
Ru2 0.834 0.834 0.166
```

Values from the calculation:
Size of the total moment: 0.01 μB per formula unit
E: -41.95 eV/f.u.


# Ce4SiRu4

A geometry-optimized Ce4SiRu4 structure (GGA-PBE, the Alexandria database).

CIF file:
```
data_Ce4SiRu4
_cell_length_a 6.719
_cell_length_b 6.719
_cell_length_c 6.719
_cell_angle_alpha 98.35
_cell_angle_beta 98.35
_cell_angle_gamma 135.19
_space_group_name_H-M_alt 'P 1'
_space_group_IT_number 1
_space_group_name_Hall 'P 1'
loop_
_atom_site_label
_atom_site_fract_x
_atom_site_fract_y
_atom_site_fract_z
Ce1 0.083 0.705 0.789
Ce2 0.295 0.083 0.378
Ce3 0.705 0.917 0.622
Ce4 0.917 0.295 0.211
Si1 0.500 0.500 0.000
Ru1 0.247 0.417 0.664
Ru2 0.417 0.753 0.170
Ru3 0.583 0.247 0.830
Ru4 0.753 0.583 0.336
```

Values from the calculation:
Size of the total moment: 0.00 μB per formula unit
E: -69.35 eV/f.u.


# CeSiRu

A geometry-optimized CeSiRu structure (GGA-PBE, the Alexandria database).

CIF file:
```
data_CeSiRu
_cell_length_a 4.211
_cell_length_b 4.211
_cell_length_c 6.744
_cell_angle_alpha 90.00
_cell_angle_beta 90.00
_cell_angle_gamma 90.00
_space_group_name_H-M_alt 'P 1'
_space_group_IT_number 1
_space_group_name_Hall 'P 1'
loop_
_atom_site_label
_atom_site_fract_x
_atom_site_fract_y
_atom_site_fract_z
Ce1 0.250 0.250 0.179
Ce2 0.750 0.750 0.821
Si1 0.250 0.250 0.687
Si2 0.750 0.750 0.313
Ru1 0.250 0.750 0.500
Ru2 0.750 0.250 0.500
```

Values from the calculation:
Size of the total moment: 0.53 μB per formula unit
E: -22.92 eV/f.u.


# Ce6Si3Ru

A geometry-optimized Ce6Si3Ru structure (GGA-PBE, the Alexandria database).

CIF file:
```
data_Ce6Si3Ru
_cell_length_a 7.941
_cell_length_b 7.941
_cell_length_c 7.941
_cell_angle_alpha 87.69
_cell_angle_beta 87.69
_cell_angle_gamma 87.69
_space_group_name_H-M_alt 'P 1'
_space_group_IT_number 1
_space_group_name_Hall 'P 1'
loop_
_atom_site_label
_atom_site_fract_x
_atom_site_fract_y
_atom_site_fract_z
Ce1 0.021 0.021 0.334
Ce2 0.021 0.334 0.021
Ce3 0.274 0.274 0.620
Ce4 0.274 0.620 0.274
Ce5 0.334 0.021 0.021
Ce6 0.380 0.726 0.726
Ce7 0.620 0.274 0.274
Ce8 0.666 0.979 0.979
Ce9 0.726 0.380 0.726
Ce10 0.726 0.726 0.380
Ce11 0.979 0.666 0.979
Ce12 0.979 0.979 0.666
Si1 0.031 0.603 0.603
Si2 0.397 0.397 0.969
Si3 0.397 0.969 0.397
Si4 0.603 0.031 0.603
Si5 0.603 0.603 0.031
Si6 0.969 0.397 0.397
Ru1 0.000 0.000 0.000
Ru2 0.500 0.500 0.500
```

Values from the calculation:
Size of the total moment: 3.92 μB per formula unit
E: -64.52 eV/f.u.